Material: Ce2SmTm3As6
Method: DFT, GGA-PBE
State: optimized geometry

Cell: 18.0168 4.1451 8.2736 Å, 90.00 103.07 90.00°
With the nearest neighbours (Å) after each atom.
Space group C2/m (No. 12)
Asymmetric unit:
Ce  0.1662  0.0000  0.3322  6 As 2.94-2.96
Sm  0.0000  0.5000  0.0000  6 As 2.96-2.97
Tm  0.0000  0.5000  0.5000  6 As 2.89-2.90
Tm  0.1661  0.0000  0.8339  6 As 2.89-2.90
As  0.0015  0.0000  0.7441  3 Tm 2.89, 1 Ce 2.94, 2 Sm 2.97
As  0.1650  0.5000  0.5879  3 Tm 2.90, 3 Ce 2.96
As  0.1689  0.5000  0.0793  3 Tm 2.89-2.90, 2 Ce 2.95, 1 Sm 2.96

V: 25.078 A^3/atom
E_form: -1.48 eV per atom